First-principles (GGA-PBE) data for crystalline CeHgH at its relaxed geometry, as listed in Alexandria.

Geometry as extended XYZ:
```
6
Lattice="4.057 0.000 0.000 0.000 4.057 0.000 0.000 0.000 7.245" Properties=species:S:1:pos:R:3 pbc="T T T"
Ce 1.014 1.014 1.194
Ce 3.043 3.043 6.052
Hg 1.014 1.014 4.463
Hg 3.043 3.043 2.782
H 1.014 3.043 0.000
H 3.043 1.014 0.000
```

Summary:
M_tot   2.2 μB/cell
SG   P4/nmm
Mass density   9.52 g/cm3
Energy above the lowest structure with this stoichiometry   0 meV per atom
VASP energy   -10.9 eV/f.u.